Al4ZnGa5: relaxed, PBE.

Lattice parameters (Å, degrees): 4.138 7.485 7.380 121.02 106.82 91.10
Fractional positions:
Ga1 0.822 0.771 0.648
Ga2 0.835 0.381 0.656
Ga3 0.500 0.500 0.000
Ga4 0.178 0.229 0.352
Ga5 0.165 0.619 0.344
Al1 0.988 0.223 0.961
Al2 0.012 0.777 0.039
Al3 0.669 0.930 0.348
Al4 0.331 0.070 0.652
Zn1 0.500 0.000 0.000

Summary:
Offset from the most stable computed form in eV per atom: 0.000
Size of the total moment in μB/atom: 0.000
Space-group type: P-1